(1)
The following is a GGA-PBE calculation of an optimized crystal structure of TlBP2S, from Alexandria.

Cell and atoms, written as CIF:
```
data_TlBP2S
_space_group_name_H-M_alt 'P 1'
_space_group_IT_number 1
_cell_length_a 4.253
_cell_length_b 4.253
_cell_length_c 4.652
_cell_angle_alpha 90.00
_cell_angle_beta 90.00
_cell_angle_gamma 90.00
loop_
_space_group_symop_operation_xyz
'x,y,z'
loop_
_atom_site_label
_atom_site_fract_x
_atom_site_fract_y
_atom_site_fract_z
_atom_site_occupancy
Tl1 0.000 0.000 0.000 1
B1 0.500 0.500 0.500 1
P1 0.000 0.500 0.500 1
P2 0.500 0.000 0.500 1
S1 0.500 0.500 0.000 1
```

Calculated values
Its relative energy among the computed polymorphs is 0.000 eV per atom. The total energy comes out at -20.05 eV/cell. Its formation energy (no corrections) is 0.79 eV/atom.

(2)
The following is a GGA-PBE calculation of an optimized crystal structure of TlBPS2, from Alexandria.

Cell and atoms, written as CIF:
```
data_TlBPS2
_space_group_name_H-M_alt 'P 1'
_space_group_IT_number 1
_cell_length_a 5.195
_cell_length_b 5.195
_cell_length_c 5.147
_cell_angle_alpha 90.00
_cell_angle_beta 90.00
_cell_angle_gamma 90.00
loop_
_space_group_symop_operation_xyz
'x,y,z'
loop_
_atom_site_label
_atom_site_fract_x
_atom_site_fract_y
_atom_site_fract_z
_atom_site_occupancy
Tl1 0.000 0.000 0.000 1
B1 0.500 0.500 0.500 1
P1 0.000 0.000 0.500 1
S1 0.000 0.500 0.000 1
S2 0.500 0.000 0.000 1
```

Calculated values
Its relative energy among the computed polymorphs is 1.267 eV per atom. The total energy comes out at -13.23 eV/cell. Its formation energy (no corrections) is 1.90 eV/atom.

(3)
The following is a GGA-PBE calculation of an optimized crystal structure of TlBP2S, from Alexandria.

Cell and atoms, written as CIF:
```
data_TlBP2S
_space_group_name_H-M_alt 'P 1'
_space_group_IT_number 1
_cell_length_a 5.147
_cell_length_b 5.147
_cell_length_c 5.213
_cell_angle_alpha 90.00
_cell_angle_beta 90.00
_cell_angle_gamma 90.00
loop_
_space_group_symop_operation_xyz
'x,y,z'
loop_
_atom_site_label
_atom_site_fract_x
_atom_site_fract_y
_atom_site_fract_z
_atom_site_occupancy
Tl1 0.000 0.000 0.000 1
B1 0.500 0.500 0.500 1
P1 0.000 0.500 0.000 1
P2 0.500 0.000 0.000 1
S1 0.000 0.000 0.500 1
```

Calculated values
Its relative energy among the computed polymorphs is 1.345 eV per atom. The total energy comes out at -13.33 eV/cell. Its formation energy (no corrections) is 2.13 eV/atom.

(4)
The following is a GGA-PBE calculation of an optimized crystal structure of TlB2P2S6, from Alexandria.

Cell and atoms, written as CIF:
```
data_TlB2P2S6
_space_group_name_H-M_alt 'P 1'
_space_group_IT_number 1
_cell_length_a 5.900
_cell_length_b 7.699
_cell_length_c 8.104
_cell_angle_alpha 116.33
_cell_angle_beta 90.04
_cell_angle_gamma 112.37
loop_
_space_group_symop_operation_xyz
'x,y,z'
loop_
_atom_site_label
_atom_site_fract_x
_atom_site_fract_y
_atom_site_fract_z
_atom_site_occupancy
Tl1 0.000 0.000 0.000 1
B1 0.463 0.927 0.116 1
B2 0.537 0.073 0.884 1
P1 0.018 0.036 0.378 1
P2 0.982 0.964 0.622 1
S1 0.175 0.814 0.227 1
S2 0.361 0.186 0.772 1
S3 0.395 0.789 0.843 1
S4 0.605 0.211 0.157 1
S5 0.639 0.814 0.228 1
S6 0.825 0.186 0.773 1
```

Calculated values
The total energy comes out at -52.84 eV/cell. Its formation energy (no corrections) is -0.14 eV/atom.

(5)
The following is a GGA-PBE calculation of an optimized crystal structure of TlBPS2, from Alexandria.

Cell and atoms, written as CIF:
```
data_TlBPS2
_space_group_name_H-M_alt 'P 1'
_space_group_IT_number 1
_cell_length_a 4.761
_cell_length_b 4.761
_cell_length_c 3.845
_cell_angle_alpha 90.00
_cell_angle_beta 90.00
_cell_angle_gamma 90.00
loop_
_space_group_symop_operation_xyz
'x,y,z'
loop_
_atom_site_label
_atom_site_fract_x
_atom_site_fract_y
_atom_site_fract_z
_atom_site_occupancy
Tl1 0.000 0.000 0.000 1
B1 0.500 0.500 0.500 1
P1 0.500 0.500 0.000 1
S1 0.000 0.500 0.500 1
S2 0.500 0.000 0.500 1
```

Calculated values
Its relative energy among the computed polymorphs is 0.000 eV per atom. The total energy comes out at -19.56 eV/cell. Its formation energy (no corrections) is 0.63 eV/atom.

(6)
The following is a GGA-PBE calculation of an optimized crystal structure of Tm4BPS2, from Alexandria.

Cell and atoms, written as CIF:
```
data_Tm4BPS2
_space_group_name_H-M_alt 'P 1'
_space_group_IT_number 1
_cell_length_a 5.438
_cell_length_b 5.438
_cell_length_c 10.966
_cell_angle_alpha 90.00
_cell_angle_beta 90.00
_cell_angle_gamma 90.00
loop_
_space_group_symop_operation_xyz
'x,y,z'
loop_
_atom_site_label
_atom_site_fract_x
_atom_site_fract_y
_atom_site_fract_z
_atom_site_occupancy
Tm1 0.000 0.000 0.233 1
Tm2 0.000 0.000 0.767 1
Tm3 0.000 0.500 0.002 1
Tm4 0.000 0.500 0.498 1
Tm5 0.500 0.000 0.502 1
Tm6 0.500 0.000 0.998 1
Tm7 0.500 0.500 0.267 1
Tm8 0.500 0.500 0.733 1
B1 0.000 0.000 0.000 1
B2 0.500 0.500 0.500 1
P1 0.000 0.500 0.250 1
P2 0.500 0.000 0.750 1
S1 0.000 0.000 0.500 1
S2 0.000 0.500 0.750 1
S3 0.500 0.000 0.250 1
S4 0.500 0.500 0.000 1
```

Calculated values
The total energy comes out at -100.02 eV/cell. Its formation energy (no corrections) is -1.47 eV/atom.

(7)
The following is a GGA-PBE calculation of an optimized crystal structure of BP2WS, from Alexandria.

Cell and atoms, written as CIF:
```
data_BP2WS
_space_group_name_H-M_alt 'P 1'
_space_group_IT_number 1
_cell_length_a 4.753
_cell_length_b 4.753
_cell_length_c 4.590
_cell_angle_alpha 90.00
_cell_angle_beta 90.00
_cell_angle_gamma 90.00
loop_
_space_group_symop_operation_xyz
'x,y,z'
loop_
_atom_site_label
_atom_site_fract_x
_atom_site_fract_y
_atom_site_fract_z
_atom_site_occupancy
B1 0.000 0.000 0.000 1
P1 0.000 0.500 0.500 1
P2 0.500 0.000 0.500 1
W1 0.500 0.500 0.500 1
S1 0.500 0.500 0.000 1
```

Calculated values
Its relative energy among the computed polymorphs is 0.235 eV per atom. The total energy comes out at -28.24 eV/cell. Its formation energy (no corrections) is 1.27 eV/atom.

(8)
The following is a GGA-PBE calculation of an optimized crystal structure of BPWS2, from Alexandria.

Cell and atoms, written as CIF:
```
data_BPWS2
_space_group_name_H-M_alt 'P 1'
_space_group_IT_number 1
_cell_length_a 4.093
_cell_length_b 4.093
_cell_length_c 4.054
_cell_angle_alpha 90.00
_cell_angle_beta 90.00
_cell_angle_gamma 90.00
loop_
_space_group_symop_operation_xyz
'x,y,z'
loop_
_atom_site_label
_atom_site_fract_x
_atom_site_fract_y
_atom_site_fract_z
_atom_site_occupancy
B1 0.000 0.000 0.000 1
P1 0.000 0.000 0.500 1
W1 0.500 0.500 0.500 1
S1 0.000 0.500 0.000 1
S2 0.500 0.000 0.000 1
```

Calculated values
Its relative energy among the computed polymorphs is 0.000 eV per atom. The total energy comes out at -28.27 eV/cell. Its formation energy (no corrections) is 1.01 eV/atom.

(9)
The following is a GGA-PBE calculation of an optimized crystal structure of BPWS2, from Alexandria.

Cell and atoms, written as CIF:
```
data_BPWS2
_space_group_name_H-M_alt 'P 1'
_space_group_IT_number 1
_cell_length_a 4.634
_cell_length_b 4.634
_cell_length_c 4.830
_cell_angle_alpha 90.00
_cell_angle_beta 90.00
_cell_angle_gamma 90.00
loop_
_space_group_symop_operation_xyz
'x,y,z'
loop_
_atom_site_label
_atom_site_fract_x
_atom_site_fract_y
_atom_site_fract_z
_atom_site_occupancy
B1 0.000 0.000 0.000 1
P1 0.500 0.500 0.000 1
W1 0.500 0.500 0.500 1
S1 0.000 0.500 0.500 1
S2 0.500 0.000 0.500 1
```

Calculated values
Its relative energy among the computed polymorphs is 0.117 eV per atom. The total energy comes out at -27.68 eV/cell. Its formation energy (no corrections) is 1.12 eV/atom.

(10)
The following is a GGA-PBE calculation of an optimized crystal structure of BP2WS, from Alexandria.

Cell and atoms, written as CIF:
```
data_BP2WS
_space_group_name_H-M_alt 'P 1'
_space_group_IT_number 1
_cell_length_a 4.061
_cell_length_b 4.061
_cell_length_c 4.040
_cell_angle_alpha 90.00
_cell_angle_beta 90.00
_cell_angle_gamma 90.00
loop_
_space_group_symop_operation_xyz
'x,y,z'
loop_
_atom_site_label
_atom_site_fract_x
_atom_site_fract_y
_atom_site_fract_z
_atom_site_occupancy
B1 0.000 0.000 0.000 1
P1 0.000 0.500 0.000 1
P2 0.500 0.000 0.000 1
W1 0.500 0.500 0.500 1
S1 0.000 0.000 0.500 1
```

Calculated values
Its relative energy among the computed polymorphs is 0.000 eV per atom. The total energy comes out at -29.42 eV/cell. Its formation energy (no corrections) is 1.03 eV/atom.

- Which formula does entry 4 have?
  TlB2P2S6